Computed, not measured: a relaxed structure of Ca2TaTlCo at the GGA-PBEsol level of DFT.

a b c (Å): 5.2659 5.5193 5.5193
angles (deg): 90.00 90.00 90.00
Closest atoms and distances in Å follow each position.
Fractional coordinates of all 5 atoms:
Ca  0.0000  0.0000  0.5000  2 Ta 2.76
Ca  0.0000  0.5000  0.0000  2 Ta 2.76
Tl  0.5000  0.0000  0.0000  2 Ta 2.63
Co  0.5000  0.5000  0.5000  8 Ca 3.81, 4 Tl 3.90
Ta  0.0000  0.0000  0.0000  2 Tl 2.63, 4 Ca 2.76

## Properties
The energy is -19.2 eV for the cell shown.